# 1
## Nd3EuCu (PBE-GGA)

Data for a relaxed structure of Nd3EuCu.

abc: 5.636 5.636 5.636
angles: 90.00 90.00 90.00
Space group Pm-3m (No. 221)
Symmetry-distinct sites (fractional):
Nd1 0.000 0.000 0.500
Eu1 0.500 0.500 0.500
Cu1 0.000 0.000 0.000

* energy of formation from the pure elements: 0.123 eV/atom
* uncorrected energy: -28.1 eV for the cell shown

# 2
## Nd2EuCu (PBE-GGA)

Data for a relaxed structure of Nd2EuCu.

abc: 3.681 3.681 9.028
angles: 90.00 90.00 90.00
Space group P4/mmm (No. 123)
Symmetry-distinct sites (fractional):
Nd1 0.000 0.000 0.186
Eu1 0.500 0.500 0.500
Cu1 0.500 0.500 0.000

* energy of formation from the pure elements: -0.021 eV/atom
* ΔE to the lowest computed polymorph: 0.0 meV/atom
* uncorrected energy: -24.0 eV for the cell shown

# 3
## NdEuCu2 (PBE-GGA)

Data for a relaxed structure of NdEuCu2.

abc: 3.623 3.623 7.233
angles: 90.00 90.00 90.00
Space group P4/mmm (No. 123)
Symmetry-distinct sites (fractional):
Nd1 0.000 0.000 0.000
Eu1 0.000 0.000 0.500
Cu1 0.500 0.500 0.223

* energy of formation from the pure elements: -0.119 eV/atom
* ΔE to the lowest computed polymorph: 0.0 meV/atom
* uncorrected energy: -23.7 eV for the cell shown

# 4
## NdEu2Cu (PBE-GGA)

Data for a relaxed structure of NdEu2Cu.

abc: 3.7046 3.7046 33.6948
angles: 90.00 90.00 120.00
Space group R-3m (No. 166, hexagonal axes)
Symmetry-distinct sites (fractional):
Nd1 0.0000 0.0000 0.0000
Eu1 0.0000 0.0000 0.1052
Cu1 0.0000 0.0000 0.5000

* energy of formation from the pure elements: 0.231 eV/atom
* ΔE to the lowest computed polymorph: 223.0 meV/atom
* uncorrected energy: -85.5 eV for the cell shown

# 5
## NdEuCu2 (PBE-GGA)

Data for a relaxed structure of NdEuCu2.

abc: 4.2233 4.2233 21.0432
angles: 90.00 90.00 120.00
Space group R-3m (No. 166, hexagonal axes)
Symmetry-distinct sites (fractional):
Nd1 0.0000 0.0000 0.0000
Eu1 0.0000 0.0000 0.5000
Cu1 0.0000 0.0000 0.2543

* energy of formation from the pure elements: 0.057 eV/atom
* ΔE to the lowest computed polymorph: 175.9 meV/atom
* uncorrected energy: -69.0 eV for the cell shown

# 6
## NdEuCu2 (PBE-GGA)

Data for a relaxed structure of NdEuCu2.

abc: 7.208 7.208 7.208
angles: 90.00 90.00 90.00
Space group Fm-3m (No. 225)
Symmetry-distinct sites (fractional):
Nd1 0.000 0.000 0.000
Eu1 0.000 0.000 0.500
Cu1 0.250 0.250 0.250

* energy of formation from the pure elements: -0.106 eV/atom
* ΔE to the lowest computed polymorph: 12.9 meV/atom
* uncorrected energy: -94.6 eV for the cell shown

# 7
## Nd2EuCu (PBE-GGA)

Data for a relaxed structure of Nd2EuCu.

abc: 3.9406 3.9406 28.3575
angles: 90.00 90.00 120.00
Space group R-3m (No. 166, hexagonal axes)
Symmetry-distinct sites (fractional):
Nd1 0.0000 0.0000 0.2296
Eu1 0.0000 0.0000 0.0000
Cu1 0.0000 0.0000 0.5000

* energy of formation from the pure elements: 0.103 eV/atom
* ΔE to the lowest computed polymorph: 124.3 meV/atom
* uncorrected energy: -70.5 eV for the cell shown

# 8
## NdEu2Cu (PBE-GGA)

Data for a relaxed structure of NdEu2Cu.

abc: 3.660 3.660 9.231
angles: 90.00 90.00 90.00
Space group P4/mmm (No. 123)
Symmetry-distinct sites (fractional):
Nd1 0.000 0.000 0.000
Eu1 0.500 0.500 0.309
Cu1 0.000 0.000 0.500

* energy of formation from the pure elements: 0.008 eV/atom
* ΔE to the lowest computed polymorph: 0.0 meV/atom
* uncorrected energy: -29.4 eV for the cell shown

Q: Which value of uncorrected energy does entry 6 give?
A: -94.6 eV for the cell shown

What did the fifth record say?
## NdEuCu2 (PBE-GGA)

Data for a relaxed structure of NdEuCu2.

abc: 4.2233 4.2233 21.0432
angles: 90.00 90.00 120.00
Space group R-3m (No. 166, hexagonal axes)
Symmetry-distinct sites (fractional):
Nd1 0.0000 0.0000 0.0000
Eu1 0.0000 0.0000 0.5000
Cu1 0.0000 0.0000 0.2543

* energy of formation from the pure elements: 0.057 eV/atom
* ΔE to the lowest computed polymorph: 175.9 meV/atom
* uncorrected energy: -69.0 eV for the cell shown

Q: The highest uncorrected energy belongs to which entry?
A: number 3

Q: uncorrected energy of number 4 (NdEu2Cu)?
A: -85.5 eV for the cell shown